Entry from Alexandria: an optimized crystal structure of RbFeIr (PBE).

Lattice parameters (Å, degrees): 10.6756 10.6756 4.8389 90.00 90.00 156.61
Last column: nearest neighbours and their distance in Å.
Element x y z (fractional)
Rb  0.1424  0.8576  0.5000  2 Fe 3.23-3.47
Rb  0.8576  0.1424  0.0000  2 Fe 3.23-3.47
Fe  0.0116  0.9884  0.0602  2 Fe 2.47, 4 Ir 2.50-2.53
Fe  0.9884  0.0116  0.5602  2 Fe 2.47, 4 Ir 2.50-2.53
Ir  0.4833  0.5167  0.3022  4 Fe 2.50-2.53, 2 Ir 2.52
Ir  0.5167  0.4833  0.8022  4 Fe 2.50-2.53, 2 Ir 2.52

Values from the calculation:
- M_tot (Bohr magnetons per cell) = 5.99
- uncorrected energy (eV per cell) = -33.89
- symmetry = Cmc2_1, No. 36